## Pu3Np2NbN6 (PBE-GGA)

Data for an optimized crystal structure of Pu3Np2NbN6.

Properties
DOS at the Fermi energy = 22.01 states/eV per cell
Total DFT energy (no corrections) = -143.43 eV/cell
Magnetic moment = 19.237 μB/cell
E_form (uncorrected) = -1.211 eV/atom
Space group = C2/m

Lattice parameters (Å, degrees): 5.8788 5.8788 5.9006 99.50 99.50 120.04
With the nearest neighbours (Å) after each atom.
Fractional coordinates of all 12 atoms:
Pu 0.0000 0.0000 0.0000  6 N 2.44-2.48
Pu 0.3368 0.6632 0.0000  6 N 2.41-2.51
Pu 0.6632 0.3368 0.0000  6 N 2.41-2.51
Np 0.1672 0.8328 0.5000  6 N 2.37-2.38
Np 0.8328 0.1672 0.5000  6 N 2.37-2.38
Nb 0.5000 0.5000 0.5000  6 N 2.32-2.33
N 0.0949 0.4218 0.2646  1 Nb 2.33, 2 Np 2.37, 3 Pu 2.43-2.51
N 0.2512 0.2512 0.7353  1 Nb 2.32, 2 Np 2.38, 3 Pu 2.41-2.48
N 0.4218 0.0949 0.2646  1 Nb 2.33, 2 Np 2.37, 3 Pu 2.43-2.51
N 0.5782 0.9051 0.7354  1 Nb 2.33, 2 Np 2.37, 3 Pu 2.43-2.51
N 0.7488 0.7488 0.2647  1 Nb 2.32, 2 Np 2.38, 3 Pu 2.41-2.48
N 0.9051 0.5782 0.7354  1 Nb 2.33, 2 Np 2.37, 3 Pu 2.43-2.51

---

## PuNp2NbN4 (PBE-GGA)

Data for an optimized crystal structure of PuNp2NbN4.

Properties
DOS at the Fermi energy = 17.46 states/eV per cell
Total DFT energy (no corrections) = -92.70 eV/cell
Magnetic moment = 5.406 μB/cell
E_form (uncorrected) = -1.140 eV/atom
Space group = P2/m

Lattice parameters (Å, degrees): 5.7892 3.3459 5.8507 90.00 108.92 90.00
With the nearest neighbours (Å) after each atom.
Fractional coordinates of all 8 atoms:
Pu 0.0000 0.0000 0.0000  6 N 2.40-2.41
Np 0.5000 0.0000 0.5000  6 N 2.34-2.35
Np 0.5000 0.5000 0.0000  6 N 2.46-2.47
Nb 0.0000 0.5000 0.5000  6 N 2.27-2.30
N 0.2360 0.0000 0.7295  2 Nb 2.30, 3 Np 2.34-2.46, 1 Pu 2.40
N 0.2458 0.5000 0.2668  1 Nb 2.27, 3 Np 2.35-2.47, 2 Pu 2.41
N 0.7542 0.5000 0.7332  1 Nb 2.27, 3 Np 2.35-2.47, 2 Pu 2.41
N 0.7640 0.0000 0.2705  2 Nb 2.30, 3 Np 2.34-2.46, 1 Pu 2.40

---

## Pu2NpNbN4 (PBE-GGA)

Data for an optimized crystal structure of Pu2NpNbN4.

Properties
DOS at the Fermi energy = 15.51 states/eV per cell
Total DFT energy (no corrections) = -94.59 eV/cell
Magnetic moment = 11.837 μB/cell
E_form (uncorrected) = -1.202 eV/atom
Space group = P2/m

Lattice parameters (Å, degrees): 5.8215 3.3589 5.8528 90.00 109.02 90.00
With the nearest neighbours (Å) after each atom.
Fractional coordinates of all 8 atoms:
Pu 0.0000 0.0000 0.0000  6 N 2.47-2.48
Pu 0.5000 0.5000 0.0000  6 N 2.41-2.42
Np 0.0000 0.5000 0.5000  6 N 2.35-2.36
Nb 0.5000 0.0000 0.5000  6 N 2.28-2.30
N 0.2542 0.0000 0.7334  1 Nb 2.28, 2 Np 2.36, 3 Pu 2.42-2.48
N 0.2642 0.5000 0.2702  2 Nb 2.30, 1 Np 2.35, 3 Pu 2.41-2.47
N 0.7358 0.5000 0.7298  2 Nb 2.30, 1 Np 2.35, 3 Pu 2.41-2.47
N 0.7458 0.0000 0.2666  1 Nb 2.28, 2 Np 2.36, 3 Pu 2.42-2.48

---

## Np2Nb2S2N5 (PBE-GGA)

Data for an optimized crystal structure of Np2Nb2S2N5.

Properties
DOS at the Fermi energy = 15.49 states/eV per cell
Total DFT energy (no corrections) = -107.37 eV/cell
Magnetic moment = 4.922 μB/cell
E_form (uncorrected) = -1.043 eV/atom
Space group = I4/mmm

Lattice parameters (Å, degrees): 12.0349 12.0349 12.0349 161.38 161.38 26.46
With the nearest neighbours (Å) after each atom.
Fractional coordinates of all 11 atoms:
Np 0.1620 0.1620 0.0000  4 N 2.28
Np 0.8380 0.8380 0.0000  4 N 2.28
Nb 0.4194 0.4194 0.0000  5 N 1.89-2.08
Nb 0.5806 0.5806 0.0000  5 N 1.89-2.08
S 0.2861 0.2861 0.0000  5 Np 2.91-3.01, 4 N 3.08, 1 Nb 3.12, 4 S 3.23
S 0.7139 0.7139 0.0000  5 Np 2.91-3.01, 4 N 3.08, 1 Nb 3.12, 4 S 3.23
N 0.1118 0.6118 0.5000  2 Nb 2.08, 2 Np 2.28
N 0.3882 0.8882 0.5000  2 Nb 2.08, 2 Np 2.28
N 0.5000 0.5000 0.0000  2 Nb 1.89
N 0.6118 0.1118 0.5000  2 Nb 2.08, 2 Np 2.28
N 0.8882 0.3882 0.5000  2 Nb 2.08, 2 Np 2.28

---

## NpScNbN3 (PBE-GGA)

Data for an optimized crystal structure of NpScNbN3.

Properties
DOS at the Fermi energy = 11.97 states/eV per cell
Total DFT energy (no corrections) = -121.33 eV/cell
Magnetic moment = 5.384 μB/cell
E_form (uncorrected) = -1.058 eV/atom
Space group = P2_1/m

Lattice parameters (Å, degrees): 6.7213 3.1559 8.1106 90.00 93.89 90.00
With the nearest neighbours (Å) after each atom.
Fractional coordinates of all 12 atoms:
Np 0.1458 0.2500 0.1751  7 N 2.34-2.52
Np 0.8542 0.7500 0.8249  7 N 2.34-2.52
Sc 0.3683 0.7500 0.8700  5 N 2.11-2.24
Sc 0.6317 0.2500 0.1300  5 N 2.11-2.24
Nb 0.1488 0.2500 0.5810  4 N 2.11-2.31
Nb 0.8512 0.7500 0.4190  4 N 2.11-2.31
N 0.1311 0.2500 0.8642  2 Sc 2.24, 1 Nb 2.31, 2 Np 2.44
N 0.1699 0.7500 0.4100  3 Nb 2.11-2.15
N 0.3942 0.7500 0.1310  3 Sc 2.11-2.24, 2 Np 2.34
N 0.6058 0.2500 0.8690  3 Sc 2.11-2.24, 2 Np 2.34
N 0.8301 0.2500 0.5900  3 Nb 2.11-2.15
N 0.8689 0.7500 0.1358  2 Sc 2.24, 1 Nb 2.31, 2 Np 2.44

---

## Np3Sc2NbN6 (PBE-GGA)

Data for an optimized crystal structure of Np3Sc2NbN6.

Properties
DOS at the Fermi energy = 15.39 states/eV per cell
Total DFT energy (no corrections) = -127.98 eV/cell
Magnetic moment = 8.348 μB/cell
E_form (uncorrected) = -1.373 eV/atom
Space group = C2/m

Lattice parameters (Å, degrees): 5.7028 5.7028 5.7508 99.50 99.50 120.02
With the nearest neighbours (Å) after each atom.
Fractional coordinates of all 12 atoms:
Np 0.0000 0.0000 0.0000  6 N 2.38-2.39
Np 0.3329 0.6671 0.0000  6 N 2.38-2.39
Np 0.6671 0.3329 0.0000  6 N 2.38-2.39
Sc 0.1665 0.8335 0.5000  6 N 2.29
Sc 0.8335 0.1665 0.5000  6 N 2.29
Nb 0.5000 0.5000 0.5000  6 N 2.28
N 0.0897 0.4217 0.2651  1 Nb 2.28, 2 Sc 2.29, 3 Np 2.38-2.39
N 0.2465 0.2465 0.7356  1 Nb 2.28, 2 Sc 2.29, 3 Np 2.38-2.39
N 0.4217 0.0897 0.2651  1 Nb 2.28, 2 Sc 2.29, 3 Np 2.38-2.39
N 0.5783 0.9103 0.7349  1 Nb 2.28, 2 Sc 2.29, 3 Np 2.38-2.39
N 0.7535 0.7535 0.2644  1 Nb 2.28, 2 Sc 2.29, 3 Np 2.38-2.39
N 0.9103 0.5783 0.7349  1 Nb 2.28, 2 Sc 2.29, 3 Np 2.38-2.39

---

## Np2ScNbN4 (PBE-GGA)

Data for an optimized crystal structure of Np2ScNbN4.

Properties
DOS at the Fermi energy = 11.62 states/eV per cell
Total DFT energy (no corrections) = -86.09 eV/cell
Magnetic moment = 5.778 μB/cell
E_form (uncorrected) = -1.313 eV/atom
Space group = P2/m

Lattice parameters (Å, degrees): 5.6987 3.2814 5.7378 90.00 109.29 90.00
With the nearest neighbours (Å) after each atom.
Fractional coordinates of all 8 atoms:
Np 0.0000 0.0000 0.0000  6 N 2.39
Np 0.5000 0.5000 0.0000  6 N 2.38-2.39
Sc 0.0000 0.5000 0.5000  6 N 2.28
Nb 0.5000 0.0000 0.5000  6 N 2.27-2.28
N 0.2460 0.0000 0.7339  1 Nb 2.28, 2 Sc 2.28, 3 Np 2.38-2.39
N 0.2567 0.5000 0.2685  2 Nb 2.27, 1 Sc 2.28, 3 Np 2.39
N 0.7433 0.5000 0.7315  2 Nb 2.27, 1 Sc 2.28, 3 Np 2.39
N 0.7540 0.0000 0.2661  1 Nb 2.28, 2 Sc 2.28, 3 Np 2.38-2.39

---

## Np2Nb2Se2N5 (PBE-GGA)

Data for an optimized crystal structure of Np2Nb2Se2N5.

Properties
DOS at the Fermi energy = 14.47 states/eV per cell
Total DFT energy (no corrections) = -105.91 eV/cell
Magnetic moment = 4.993 μB/cell
E_form (uncorrected) = -1.027 eV/atom
Space group = I4/mmm

Lattice parameters (Å, degrees): 12.4009 12.4009 12.4009 161.81 161.81 25.84
With the nearest neighbours (Å) after each atom.
Fractional coordinates of all 11 atoms:
Np 0.1551 0.1551 0.0000  4 N 2.27
Np 0.8449 0.8449 0.0000  4 N 2.27
Nb 0.4219 0.4219 0.0000  5 N 1.89-2.09
Nb 0.5781 0.5781 0.0000  5 N 1.89-2.09
Se 0.2865 0.2865 0.0000  5 Np 3.11-3.18, 4 N 3.21, 1 Nb 3.27, 4 Se 3.29
Se 0.7135 0.7135 0.0000  5 Np 3.11-3.18, 4 N 3.21, 1 Nb 3.27, 4 Se 3.29
N 0.1081 0.6081 0.5000  2 Nb 2.09, 2 Np 2.27
N 0.3919 0.8919 0.5000  2 Nb 2.09, 2 Np 2.27
N 0.5000 0.5000 0.0000  2 Nb 1.89
N 0.6081 0.1081 0.5000  2 Nb 2.09, 2 Np 2.27
N 0.8919 0.3919 0.5000  2 Nb 2.09, 2 Np 2.27

---

## SmNpNbN3 (PBE-GGA)

Data for an optimized crystal structure of SmNpNbN3.

Properties
DOS at the Fermi energy = 15.41 states/eV per cell
Total DFT energy (no corrections) = -116.68 eV/cell
Magnetic moment = 6.774 μB/cell
E_form (uncorrected) = -0.939 eV/atom
Space group = P2_1/m

Lattice parameters (Å, degrees): 7.1715 3.3194 8.1780 90.00 92.28 90.00
With the nearest neighbours (Å) after each atom.
Fractional coordinates of all 12 atoms:
Sm 0.1371 0.2500 0.1748  7 N 2.54-2.67
Sm 0.8629 0.7500 0.8252  7 N 2.54-2.67
Np 0.3703 0.7500 0.8487  5 N 2.13-2.36
Np 0.6297 0.2500 0.1513  5 N 2.13-2.36
Nb 0.1366 0.2500 0.5682  4 N 2.12-2.30
Nb 0.8634 0.7500 0.4318  4 N 2.12-2.30
N 0.1428 0.2500 0.8491  1 Nb 2.30, 2 Np 2.33
N 0.1643 0.7500 0.4095  3 Nb 2.12-2.17
N 0.3995 0.7500 0.1086  3 Np 2.13-2.36
N 0.6005 0.2500 0.8914  3 Np 2.13-2.36
N 0.8357 0.2500 0.5905  3 Nb 2.12-2.17
N 0.8572 0.7500 0.1509  1 Nb 2.30, 2 Np 2.33

---

## Sm3Np3NbN8 (PBE-GGA)

Data for an optimized crystal structure of Sm3Np3NbN8.

Properties
DOS at the Fermi energy = 20.28 states/eV per cell
Total DFT energy (no corrections) = -147.53 eV/cell
Magnetic moment = 8.869 μB/cell
E_form (uncorrected) = -1.192 eV/atom
Space group = R-3m

Lattice parameters (Å, degrees): 6.9385 6.9385 6.9385 58.77 58.77 58.77
With the nearest neighbours (Å) after each atom.
Fractional coordinates of all 15 atoms:
Sm 0.0000 0.5000 0.5000  6 N 2.49-2.55
Sm 0.5000 0.0000 0.5000  6 N 2.49-2.55
Sm 0.5000 0.5000 0.0000  6 N 2.49-2.55
Np 0.0000 0.0000 0.5000  6 N 2.34-2.37
Np 0.0000 0.5000 0.0000  6 N 2.34-2.37
Np 0.5000 0.0000 0.0000  6 N 2.34-2.37
Nb 0.5000 0.5000 0.5000  6 N 2.19
N 0.2438 0.2438 0.2438  3 Np 2.37, 3 Sm 2.49
N 0.2537 0.7251 0.7251  1 Nb 2.19, 2 Np 2.34
N 0.2749 0.2749 0.7463  1 Nb 2.19, 2 Np 2.34
N 0.2749 0.7463 0.2749  1 Nb 2.19, 2 Np 2.34
N 0.7251 0.2537 0.7251  1 Nb 2.19, 2 Np 2.34
N 0.7251 0.7251 0.2537  1 Nb 2.19, 2 Np 2.34
N 0.7463 0.2749 0.2749  1 Nb 2.19, 2 Np 2.34
N 0.7562 0.7562 0.7562  3 Np 2.37, 3 Sm 2.49